The following is a DFT calculation (PBE-GGA) of a relaxed structure of Si2SbPb.

Properties
- spin magnetization (μB per atom) = 0.000
- energy above the most stable polymorph in this dataset (kJ per mole of atoms) = 17.84
- raw total energy (eV per atom) = -4.22
- density of states at the Fermi level (states/eV/f.u.) = 1.8
- ΔE_f (raw) (eV per atom) = 0.450

The structure in CIF format:
```
data_Si2SbPb
_chemical_formula_sum 'Si2 Sb1 Pb1'
_space_group_name_H-M_alt 'P 1'
_space_group_IT_number 1
_cell_length_a 3.808
_cell_length_b 3.876
_cell_length_c 6.537
_cell_angle_alpha 90.00
_cell_angle_beta 90.11
_cell_angle_gamma 90.00
loop_
_space_group_symop_operation_xyz
'x,y,z'
loop_
_atom_site_label
_atom_site_type_symbol
_atom_site_fract_x
_atom_site_fract_y
_atom_site_fract_z
_atom_site_occupancy
Si1 Si 0.000 0.000 0.186 1
Si2 Si 0.000 0.000 0.814 1
Sb1 Sb 0.500 0.500 0.000 1
Pb1 Pb 0.500 0.500 0.500 1
```